Arrangement one

Density functional theory data (PBE-GGA) for TcNiW after structural relaxation.

Values from the calculation:
DOS(E_F)   3.91 states/eV/f.u.
Spin magnetization   0.000 μB per atom

Lattice parameters (Å, degrees): 2.655 2.655 11.865 90.00 90.00 90.00
Space group I4mm (No. 107)
One atom of each set of equivalent atoms:
Tc (0.000, 0.000, 0.000) x2
Ni (0.000, 0.000, 0.655) x2
W (0.000, 0.000, 0.315) x2


Arrangement two

Density functional theory data (PBE-GGA) for TcNiW after structural relaxation.

Values from the calculation:
DOS(E_F)   1.82 states/eV/f.u.
Spin magnetization   0.000 μB per atom

Lattice parameters (Å, degrees): 4.3321 4.3321 2.6096 90.00 90.00 120.00
Space group P3m1 (No. 156)
One atom of each set of equivalent atoms:
Tc (0.0000, 0.0000, 0.0000) x1
Ni (0.3333, 0.6667, 0.5581) x1
W (0.6667, 0.3333, 0.3309) x1


How far above the most stable structure does each one sit? In meV per atom: arrangement one 58; arrangement two 0.


Arrangement one

Density functional theory data (PBE-GGA) for TcNi3W after structural relaxation.

Values from the calculation:
DOS(E_F)   5.40 states/eV/f.u.
Spin magnetization   0.557 μB per atom

Lattice parameters (Å, degrees): 4.439 4.439 4.439 90.00 90.00 90.00
Space group Pm-3m (No. 221)
One atom of each set of equivalent atoms:
Tc (0.000, 0.000, 0.000) x1
Ni (0.000, 0.500, 0.500) x3
W (0.500, 0.500, 0.500) x1


Arrangement two

Density functional theory data (PBE-GGA) for TcNi3W after structural relaxation.

Values from the calculation:
DOS(E_F)   5.86 states/eV/f.u.
Spin magnetization   0.000 μB per atom

Lattice parameters (Å, degrees): 13.304 4.198 4.600 90.00 94.32 90.00
Space group C2/m (No. 12)
One atom of each set of equivalent atoms:
Tc (0.239, 0.000, 0.158) x4
Ni (0.036, 0.000, 0.248) x4
Ni (0.146, 0.500, 0.315) x4
Ni (0.158, 0.000, 0.643) x4
W (0.064, 0.500, 0.794) x4


How far above the most stable structure does each one sit? In meV per atom: arrangement one 1610; arrangement two 0.


Arrangement one

Density functional theory data (PBE-GGA) for YTc2Ni after structural relaxation.

Values from the calculation:
DOS(E_F)   4.61 states/eV/f.u.
Spin magnetization   0.000 μB per atom

Lattice parameters (Å, degrees): 2.8864 2.8864 27.3000 90.00 90.00 120.00
Space group R3m (No. 160, hexagonal axes)
One atom of each set of equivalent atoms:
Y (0.0000, 0.0000, 0.0000) x3
Tc (0.0000, 0.0000, 0.5054) x3
Tc (0.0000, 0.0000, 0.7640) x3
Ni (0.0000, 0.0000, 0.2468) x3


Arrangement two

Density functional theory data (PBE-GGA) for YTc2Ni after structural relaxation.

Values from the calculation:
DOS(E_F)   5.76 states/eV/f.u.
Spin magnetization   0.000 μB per atom

Lattice parameters (Å, degrees): 3.782 3.782 4.621 90.00 90.00 90.00
Space group P4/mmm (No. 123)
One atom of each set of equivalent atoms:
Y (0.000, 0.000, 0.000) x1
Tc (0.000, 0.500, 0.500) x2
Ni (0.500, 0.500, 0.000) x1


Arrangement three

Density functional theory data (PBE-GGA) for YTc2Ni after structural relaxation.

Values from the calculation:
DOS(E_F)   6.35 states/eV/f.u.
Spin magnetization   0.127 μB per atom

Lattice parameters (Å, degrees): 3.812 3.812 9.193 90.00 90.00 90.00
Space group I4/mmm (No. 139)
One atom of each set of equivalent atoms:
Y (0.000, 0.000, 0.000) x2
Tc (0.000, 0.500, 0.250) x4
Ni (0.000, 0.000, 0.500) x2


Arrangement four

Density functional theory data (PBE-GGA) for YTc2Ni after structural relaxation.

Values from the calculation:
DOS(E_F)   6.19 states/eV/f.u.
Spin magnetization   0.030 μB per atom

Lattice parameters (Å, degrees): 2.8298 2.8298 28.1817 90.00 90.00 120.00
Space group R-3m (No. 166, hexagonal axes)
One atom of each set of equivalent atoms:
Y (0.0000, 0.0000, 0.0000) x3
Tc (0.0000, 0.0000, 0.2381) x6
Ni (0.0000, 0.0000, 0.5000) x3


How far above the most stable structure does each one sit? In meV per atom: arrangement one 201; arrangement two 0; arrangement three 97; arrangement four 387.


Arrangement one

Density functional theory data (PBE-GGA) for YTc2Ni after structural relaxation.

Values from the calculation:
DOS(E_F)   3.42 states/eV/f.u.
Spin magnetization   0.000 μB per atom

Lattice parameters (Å, degrees): 3.252 4.747 4.497 90.00 100.26 90.00
Space group P2/m (No. 10)
One atom of each set of equivalent atoms:
Y (0.000, 0.000, 0.000) x1
Tc (0.329, 0.500, 0.728) x2
Ni (0.500, 0.000, 0.500) x1


Arrangement two

Density functional theory data (PBE-GGA) for YTc2Ni after structural relaxation.

Values from the calculation:
DOS(E_F)   5.50 states/eV/f.u.
Spin magnetization   0.045 μB per atom

Lattice parameters (Å, degrees): 3.129 3.129 6.884 90.00 90.00 90.00
Space group P4mm (No. 99)
One atom of each set of equivalent atoms:
Y (0.000, 0.000, 0.000) x1
Tc (0.000, 0.000, 0.491) x1
Tc (0.500, 0.500, 0.686) x1
Ni (0.500, 0.500, 0.286) x1


How far above the most stable structure does each one sit? In meV per atom: arrangement one 179; arrangement two 0.


Arrangement one

Density functional theory data (PBE-GGA) for YTcNi2 after structural relaxation.

Values from the calculation:
DOS(E_F)   4.30 states/eV/f.u.
Spin magnetization   0.311 μB per atom

Lattice parameters (Å, degrees): 4.1533 4.1533 14.0802 90.00 90.00 120.00
Space group R-3m (No. 166, hexagonal axes)
One atom of each set of equivalent atoms:
Y (0.0000, 0.0000, 0.0000) x3
Tc (0.0000, 0.0000, 0.5000) x3
Ni (0.0000, 0.0000, 0.1987) x6


Arrangement two

Density functional theory data (PBE-GGA) for YTcNi2 after structural relaxation.

Values from the calculation:
DOS(E_F)   5.79 states/eV/f.u.
Spin magnetization   0.241 μB per atom

Lattice parameters (Å, degrees): 3.203 3.203 6.227 90.00 90.00 90.00
Space group P4/mmm (No. 123)
One atom of each set of equivalent atoms:
Y (0.000, 0.000, 0.000) x1
Tc (0.000, 0.000, 0.500) x1
Ni (0.500, 0.500, 0.305) x2


How far above the most stable structure does each one sit? In meV per atom: arrangement one 0; arrangement two 181.


Arrangement one

Density functional theory data (PBE-GGA) for YTcNi2 after structural relaxation.

Values from the calculation:
DOS(E_F)   4.03 states/eV/f.u.
Spin magnetization   0.537 μB per atom

Lattice parameters (Å, degrees): 3.875 3.875 8.386 90.00 90.00 90.00
Space group I-4m2 (No. 119)
One atom of each set of equivalent atoms:
Y (0.000, 0.000, 0.000) x2
Tc (0.000, 0.500, 0.250) x2
Ni (0.000, 0.000, 0.500) x2
Ni (0.000, 0.500, 0.750) x2


Arrangement two

Density functional theory data (PBE-GGA) for YTcNi2 after structural relaxation.

Values from the calculation:
DOS(E_F)   4.88 states/eV/f.u.
Spin magnetization   0.056 μB per atom

Lattice parameters (Å, degrees): 5.728 7.349 2.891 90.00 90.00 90.00
Space group Cmmm (No. 65)
One atom of each set of equivalent atoms:
Y (0.000, 0.000, 0.000) x2
Tc (0.000, 0.500, 0.000) x2
Ni (0.250, 0.250, 0.500) x4


Arrangement three

Density functional theory data (PBE-GGA) for YTcNi2 after structural relaxation.

Values from the calculation:
DOS(E_F)   4.60 states/eV/f.u.
Spin magnetization   0.000 μB per atom

Lattice parameters (Å, degrees): 3.112 4.172 4.945 90.00 100.11 90.00
Space group Pm (No. 6)
One atom of each set of equivalent atoms:
Y (0.000, 0.000, 0.000) x1
Tc (0.235, 0.500, 0.597) x1
Ni (0.566, 0.500, 0.180) x1
Ni (0.583, 0.000, 0.484) x1


How far above the most stable structure does each one sit? In meV per atom: arrangement one 156; arrangement two 76; arrangement three 0.


Arrangement one

Density functional theory data (PBE-GGA) for YTcNi2 after structural relaxation.

Values from the calculation:
DOS(E_F)   4.98 states/eV/f.u.
Spin magnetization   0.047 μB per atom

Lattice parameters (Å, degrees): 4.357 4.357 16.298 90.00 90.00 90.00
Space group I-42d (No. 122)
One atom of each set of equivalent atoms:
Y (0.000, 0.000, 0.000) x4
Tc (0.000, 0.000, 0.500) x4
Ni (0.094, 0.250, 0.625) x8


Arrangement two

Density functional theory data (PBE-GGA) for YTcNi2 after structural relaxation.

Values from the calculation:
DOS(E_F)   6.71 states/eV/f.u.
Spin magnetization   0.000 μB per atom

Lattice parameters (Å, degrees): 2.8835 2.8835 26.2588 90.00 90.00 120.00
Space group R-3m (No. 166, hexagonal axes)
One atom of each set of equivalent atoms:
Y (0.0000, 0.0000, 0.0000) x3
Tc (0.0000, 0.0000, 0.5000) x3
Ni (0.0000, 0.0000, 0.2411) x6


How far above the most stable structure does each one sit? In meV per atom: arrangement one 0; arrangement two 54.


Arrangement one

Density functional theory data (PBE-GGA) for YTcNi2 after structural relaxation.

Values from the calculation:
DOS(E_F)   4.96 states/eV/f.u.
Spin magnetization   0.000 μB per atom

Lattice parameters (Å, degrees): 3.039 3.299 6.311 90.00 90.00 90.00
Space group Pmm2 (No. 25)
One atom of each set of equivalent atoms:
Y (0.000, 0.000, 0.000) x1
Tc (0.500, 0.500, 0.671) x1
Ni (0.000, 0.000, 0.480) x1
Ni (0.500, 0.500, 0.284) x1


Arrangement two

Density functional theory data (PBE-GGA) for YTcNi2 after structural relaxation.

Values from the calculation:
DOS(E_F)   6.55 states/eV/f.u.
Spin magnetization   0.118 μB per atom

Lattice parameters (Å, degrees): 2.8989 2.8989 26.0390 90.00 90.00 120.00
Space group R3m (No. 160, hexagonal axes)
One atom of each set of equivalent atoms:
Y (0.0000, 0.0000, 0.0000) x3
Tc (0.0000, 0.0000, 0.7670) x3
Ni (0.0000, 0.0000, 0.2443) x3
Ni (0.0000, 0.0000, 0.5062) x3


How far above the most stable structure does each one sit? In meV per atom: arrangement one 0; arrangement two 411.


Arrangement one

Density functional theory data (PBE-GGA) for YTcNi2 after structural relaxation.

Values from the calculation:
DOS(E_F)   2.31 states/eV/f.u.
Spin magnetization   0.520 μB per atom

Lattice parameters (Å, degrees): 6.292 6.292 6.292 90.00 90.00 90.00
Space group F-43m (No. 216)
One atom of each set of equivalent atoms:
Y (0.000, 0.000, 0.000) x4
Tc (0.250, 0.250, 0.750) x4
Ni (0.000, 0.000, 0.500) x4
Ni (0.250, 0.250, 0.250) x4


Arrangement two

Density functional theory data (PBE-GGA) for YTcNi2 after structural relaxation.

Values from the calculation:
DOS(E_F)   4.51 states/eV/f.u.
Spin magnetization   0.646 μB per atom

Lattice parameters (Å, degrees): 6.340 6.340 6.340 90.00 90.00 90.00
Space group Fm-3m (No. 225)
One atom of each set of equivalent atoms:
Y (0.000, 0.000, 0.000) x4
Tc (0.000, 0.000, 0.500) x4
Ni (0.250, 0.250, 0.250) x8


How far above the most stable structure does each one sit? In meV per atom: arrangement one 117; arrangement two 0.


Arrangement one

Density functional theory data (PBE-GGA) for YTcNi2 after structural relaxation.

Values from the calculation:
DOS(E_F)   6.77 states/eV/f.u.
Spin magnetization   0.000 μB per atom

Lattice parameters (Å, degrees): 2.968 4.508 9.284 90.00 90.00 90.00
Space group Imm2 (No. 44)
One atom of each set of equivalent atoms:
Y (0.000, 0.000, 0.000) x2
Tc (0.000, 0.500, 0.780) x2
Ni (0.000, 0.000, 0.509) x2
Ni (0.000, 0.500, 0.227) x2


Arrangement two

Density functional theory data (PBE-GGA) for YTcNi2 after structural relaxation.

Values from the calculation:
DOS(E_F)   5.89 states/eV/f.u.
Spin magnetization   0.467 μB per atom

Lattice parameters (Å, degrees): 4.177 4.177 3.580 90.00 90.00 90.00
Space group P4/mmm (No. 123)
One atom of each set of equivalent atoms:
Y (0.000, 0.000, 0.000) x1
Tc (0.500, 0.500, 0.000) x1
Ni (0.000, 0.500, 0.500) x2


How far above the most stable structure does each one sit? In meV per atom: arrangement one 64; arrangement two 0.


Arrangement one

Density functional theory data (PBE-GGA) for YTcNi3 after structural relaxation.

Values from the calculation:
DOS(E_F)   5.13 states/eV/f.u.
Spin magnetization   0.000 μB per atom

Lattice parameters (Å, degrees): 4.508 4.508 4.508 90.00 90.00 90.00
Space group Pm-3m (No. 221)
One atom of each set of equivalent atoms:
Y (0.000, 0.000, 0.000) x1
Tc (0.500, 0.500, 0.500) x1
Ni (0.000, 0.500, 0.500) x3


Arrangement two

Density functional theory data (PBE-GGA) for YTcNi3 after structural relaxation.

Values from the calculation:
DOS(E_F)   4.31 states/eV/f.u.
Spin magnetization   0.746 μB per atom

Lattice parameters (Å, degrees): 4.596 4.596 4.596 90.00 90.00 90.00
Space group Pm-3m (No. 221)
One atom of each set of equivalent atoms:
Y (0.000, 0.000, 0.000) x1
Tc (0.500, 0.500, 0.500) x1
Ni (0.000, 0.000, 0.500) x3


How far above the most stable structure does each one sit? In meV per atom: arrangement one 0; arrangement two 1170.


Arrangement one

Density functional theory data (PBE-GGA) for ZnTcNi6 after structural relaxation.

Values from the calculation:
DOS(E_F)   8.73 states/eV/f.u.
Spin magnetization   0.094 μB per atom

Lattice parameters (Å, degrees): 7.191 10.159 10.160 90.00 90.00 90.00
Space group Cmmm (No. 65)
One atom of each set of equivalent atoms:
Zn (0.000, 0.000, 0.248) x4
Zn (0.000, 0.250, 0.000) x4
Tc (0.000, 0.251, 0.500) x4
Tc (0.000, 0.500, 0.243) x4
Ni (0.000, 0.000, 0.000) x2
Ni (0.000, 0.000, 0.500) x2
Ni (0.000, 0.252, 0.253) x8
Ni (0.000, 0.500, 0.000) x2
Ni (0.000, 0.500, 0.500) x2
Ni (0.248, 0.374, 0.376) x16
Ni (0.248, 0.376, 0.126) x16


Arrangement two

Density functional theory data (PBE-GGA) for ZnTcNi6 after structural relaxation.

Values from the calculation:
DOS(E_F)   8.04 states/eV/f.u.
Spin magnetization   0.002 μB per atom

Lattice parameters (Å, degrees): 3.591 3.591 7.175 90.00 90.00 90.00
Space group P4/mmm (No. 123)
One atom of each set of equivalent atoms:
Zn (0.000, 0.000, 0.000) x1
Tc (0.000, 0.000, 0.500) x1
Ni (0.000, 0.500, 0.253) x4
Ni (0.500, 0.500, 0.000) x1
Ni (0.500, 0.500, 0.500) x1


How far above the most stable structure does each one sit? In meV per atom: arrangement one 14; arrangement two 0.